## i
Compound: TlAgTeO
Source: the Open Quantum Materials Database
Functional: PBE
Structure: optimized geometry

Output
Symmetry: Pmc2_1 (26)

```
TlAgTeO
1.0
4.330 0.000 0.000
0.000 7.190 0.000
0.000 0.000 6.528
Tl Ag Te O
2 2 2 2
Cartesian
0.000 0.913 0.000
0.000 6.277 3.264
2.165 1.993 3.850
2.165 5.197 0.586
2.165 2.411 1.110
2.165 4.779 4.374
0.000 1.040 4.326
0.000 6.151 1.062
```

=====

## ii
Compound: TlAgTeO
Source: the Open Quantum Materials Database
Functional: PBE
Structure: optimized geometry

Output
Symmetry: P4/nmm (129)

```
TlAgTeO
1.0
4.134 0.000 0.000
0.000 4.134 0.000
0.000 0.000 10.038
Tl Ag Te O
2 2 2 2
Cartesian
1.033 1.033 1.086
3.100 3.100 8.952
1.033 3.100 5.019
3.100 1.033 5.019
1.033 1.033 6.992
3.100 3.100 3.046
1.033 3.100 0.000
3.100 1.033 0.000
```

=====

Stability verdict: ii, ahead by 8 meV per atom

=====

## i
Compound: Zn2Ag2O5
Source: the Open Quantum Materials Database
Functional: PBE
Structure: optimized geometry

Output
Symmetry: P4/mmm (123)

```
Zn2Ag2O5
1.0
3.660 0.000 0.000
0.000 3.660 0.000
0.000 0.000 8.054
Zn Ag O
2 2 5
Cartesian
0.000 0.000 1.961
0.000 0.000 6.094
1.830 1.830 0.000
1.830 1.830 4.027
0.000 0.000 0.000
0.000 1.830 2.702
0.000 1.830 5.353
1.830 0.000 2.702
1.830 0.000 5.353
```

=====

## ii
Compound: Zn2Ag2O5
Source: the Open Quantum Materials Database
Functional: PBE
Structure: optimized geometry

Output
Symmetry: P4/mmm (123)

```
Zn2Ag2O5
1.0
3.789 0.000 0.000
0.000 3.789 0.000
0.000 0.000 8.250
Zn Ag O
2 2 5
Cartesian
0.000 0.000 0.000
0.000 0.000 4.125
1.894 1.894 1.871
1.894 1.894 6.379
0.000 1.894 1.262
0.000 1.894 6.988
1.894 0.000 1.262
1.894 0.000 6.988
1.894 1.894 4.125
```

=====

Stability verdict: i, ahead by 303 meV per atom

=====

## i
Compound: Zr2Ag2O5
Source: the Open Quantum Materials Database
Functional: PBE
Structure: optimized geometry

Output
Symmetry: P4/mmm (123)

```
Zr2Ag2O5
1.0
4.014 0.000 0.000
0.000 4.014 0.000
0.000 0.000 8.254
Zr Ag O
2 2 5
Cartesian
0.000 0.000 2.017
0.000 0.000 6.237
2.007 2.007 0.000
2.007 2.007 4.127
0.000 0.000 0.000
0.000 2.007 2.456
0.000 2.007 5.798
2.007 0.000 2.456
2.007 0.000 5.798
```

=====

## ii
Compound: Zr2Ag2O5
Source: the Open Quantum Materials Database
Functional: PBE
Structure: optimized geometry

Output
Symmetry: P4/mmm (123)

```
Zr2Ag2O5
1.0
4.135 0.000 0.000
0.000 4.135 0.000
0.000 0.000 6.588
Zr Ag O
2 2 5
Cartesian
0.000 0.000 0.000
0.000 0.000 3.294
2.068 2.068 1.247
2.068 2.068 5.340
0.000 2.068 1.387
0.000 2.068 5.201
2.068 0.000 1.387
2.068 0.000 5.201
2.068 2.068 3.294
```

=====

Stability verdict: i, ahead by 1200 meV per atom

=====

## i
Compound: AgOs
Source: the Open Quantum Materials Database
Functional: PBE
Structure: optimized geometry

Output
Symmetry: Fm-3m (225)

```
AgOs
1.0
5.299 0.000 0.000
0.000 5.299 0.000
0.000 0.000 5.299
Ag Os
4 4
Cartesian
0.000 0.000 0.000
0.000 2.649 2.649
2.649 0.000 2.649
2.649 2.649 0.000
0.000 0.000 2.649
0.000 2.649 0.000
2.649 0.000 0.000
2.649 2.649 2.649
```

=====

## ii
Compound: AgOs
Source: the Open Quantum Materials Database
Functional: PBE
Structure: optimized geometry

Output
Symmetry: Pm-3m (221)

```
AgOs
1.0
3.149 0.000 0.000
0.000 3.149 0.000
0.000 0.000 3.149
Ag Os
1 1
Cartesian
0.000 0.000 0.000
1.574 1.574 1.574
```

=====

Stability verdict: ii, ahead by 868 meV per atom

=====

## i
Compound: AgOs
Source: the Open Quantum Materials Database
Functional: PBE
Structure: optimized geometry

Output
Symmetry: P-6m2 (187)

```
AgOs
1.0
2.740 0.000 0.000
-1.370 2.373 0.000
0.000 0.000 4.812
Ag Os
1 1
Cartesian
0.000 0.000 0.000
1.370 0.791 2.406
```

=====

## ii
Compound: AgOs
Source: the Open Quantum Materials Database
Functional: PBE
Structure: optimized geometry

Output
Symmetry: F-43m (216)

```
AgOs
1.0
5.833 0.000 0.000
0.000 5.833 0.000
0.000 0.000 5.833
Ag Os
4 4
Cartesian
0.000 0.000 0.000
0.000 2.917 2.917
2.917 0.000 2.917
2.917 2.917 0.000
1.458 1.458 4.375
1.458 4.375 1.458
4.375 1.458 1.458
4.375 4.375 4.375
```

=====

Stability verdict: i, ahead by 2083 meV per atom

=====

## i
Compound: PmAgOs
Source: the Open Quantum Materials Database
Functional: PBE
Structure: optimized geometry

Output
Symmetry: F-43m (216)

```
PmAgOs
1.0
6.569 0.000 0.000
0.000 6.569 0.000
0.000 0.000 6.569
Pm Ag Os
4 4 4
Cartesian
0.000 0.000 0.000
0.000 3.285 3.285
3.285 0.000 3.285
3.285 3.285 0.000
0.000 0.000 3.285
0.000 3.285 0.000
3.285 0.000 0.000
3.285 3.285 3.285
1.642 1.642 4.927
1.642 4.927 1.642
4.927 1.642 1.642
4.927 4.927 4.927
```

=====

## ii
Compound: PmAgOs
Source: the Open Quantum Materials Database
Functional: PBE
Structure: optimized geometry

Output
Symmetry: F-43m (216)

```
PmAgOs
1.0
6.656 0.000 0.000
0.000 6.656 0.000
0.000 0.000 6.656
Pm Ag Os
4 4 4
Cartesian
0.000 0.000 0.000
0.000 3.328 3.328
3.328 0.000 3.328
3.328 3.328 0.000
1.664 1.664 4.992
1.664 4.992 1.664
4.992 1.664 1.664
4.992 4.992 4.992
1.664 1.664 1.664
1.664 4.992 4.992
4.992 1.664 4.992
4.992 4.992 1.664
```

=====

Stability verdict: i, ahead by 454 meV per atom

=====

## i
Compound: PrAgOs
Source: the Open Quantum Materials Database
Functional: PBE
Structure: optimized geometry

Output
Symmetry: F-43m (216)

```
PrAgOs
1.0
6.618 0.000 0.000
0.000 6.618 0.000
0.000 0.000 6.618
Pr Ag Os
4 4 4
Cartesian
0.000 0.000 0.000
0.000 3.309 3.309
3.309 0.000 3.309
3.309 3.309 0.000
0.000 0.000 3.309
0.000 3.309 0.000
3.309 0.000 0.000
3.309 3.309 3.309
1.655 1.655 4.964
1.655 4.964 1.655
4.964 1.655 1.655
4.964 4.964 4.964
```

=====

## ii
Compound: PrAgOs
Source: the Open Quantum Materials Database
Functional: PBE
Structure: optimized geometry

Output
Symmetry: F-43m (216)

```
PrAgOs
1.0
6.735 0.000 0.000
0.000 6.735 0.000
0.000 0.000 6.735
Pr Ag Os
4 4 4
Cartesian
0.000 0.000 0.000
0.000 3.368 3.368
3.368 0.000 3.368
3.368 3.368 0.000
1.684 1.684 5.051
1.684 5.051 1.684
5.051 1.684 1.684
5.051 5.051 5.051
1.684 1.684 1.684
1.684 5.051 5.051
5.051 1.684 5.051
5.051 5.051 1.684
```

=====

Stability verdict: i, ahead by 498 meV per atom

=====

## i
Compound: Sc2AgOs
Source: the Open Quantum Materials Database
Functional: PBE
Structure: optimized geometry

Output
Symmetry: P4/mmm (123)

```
Sc2AgOs
1.0
4.647 0.000 0.000
0.000 4.647 0.000
0.000 0.000 3.326
Sc Ag Os
2 1 1
Cartesian
0.000 2.324 0.000
2.324 0.000 0.000
0.000 0.000 1.663
2.324 2.324 1.663
```

=====

## ii
Compound: Sc2AgOs
Source: the Open Quantum Materials Database
Functional: PBE
Structure: optimized geometry

Output
Symmetry: P4/mmm (123)

```
Sc2AgOs
1.0
3.238 0.000 0.000
0.000 3.238 0.000
0.000 0.000 7.047
Sc Ag Os
2 1 1
Cartesian
0.000 0.000 1.550
0.000 0.000 5.498
1.619 1.619 3.524
1.619 1.619 0.000
```

=====

## iii
Compound: Sc2AgOs
Source: the Open Quantum Materials Database
Functional: PBE
Structure: optimized geometry

Output
Symmetry: I4/mmm (139)

```
Sc2AgOs
1.0
4.676 0.000 0.000
0.000 4.676 0.000
0.000 0.000 6.573
Sc Ag Os
4 2 2
Cartesian
0.000 2.338 1.643
0.000 2.338 4.930
2.338 0.000 1.643
2.338 0.000 4.930
0.000 0.000 0.000
2.338 2.338 3.286
0.000 0.000 3.286
2.338 2.338 0.000
```

=====

## iv
Compound: Sc2AgOs
Source: the Open Quantum Materials Database
Functional: PBE
Structure: optimized geometry

Output
Symmetry: Pnma (62)

```
Sc2AgOs
1.0
7.256 0.000 0.000
0.000 7.102 0.000
0.000 0.000 6.270
Sc Ag Os
8 4 4
Cartesian
1.267 0.121 1.063
1.267 3.430 1.063
2.361 3.672 4.198
2.361 6.981 4.198
4.895 0.121 2.072
4.895 3.430 2.072
5.989 3.672 5.207
5.989 6.981 5.207
0.055 1.776 3.400
3.573 5.327 0.265
3.683 1.776 6.005
7.201 5.327 2.870
0.799 5.327 5.553
2.829 1.776 2.418
4.427 5.327 3.852
6.457 1.776 0.717
```

=====

Stability verdict: ii, ahead by 76 meV per atom

=====

## i
Compound: AgP
Source: the Open Quantum Materials Database
Functional: PBE
Structure: optimized geometry

Output
Symmetry: Pmma (51)

```
AgP
1.0
5.330 0.000 0.000
0.000 3.212 0.000
0.000 0.000 8.534
Ag P
4 4
Cartesian
0.000 0.000 0.000
1.332 1.606 2.025
2.665 0.000 0.000
3.997 1.606 6.509
1.332 0.000 4.408
1.332 1.606 5.926
3.997 0.000 4.125
3.997 1.606 2.608
```

=====

## ii
Compound: AgP
Source: the Open Quantum Materials Database
Functional: PBE
Structure: optimized geometry

Output
Symmetry: P6_3/mmc (194)

```
AgP
1.0
3.912 0.000 0.000
-1.956 3.388 0.000
0.000 0.000 5.570
Ag P
2 2
Cartesian
0.000 0.000 0.000
0.000 0.000 2.785
0.000 2.259 1.393
1.956 1.129 4.178
```

=====

## iii
Compound: AgP
Source: the Open Quantum Materials Database
Functional: PBE
Structure: optimized geometry

Output
Symmetry: P6_3/mmc (194)

```
AgP
1.0
4.133 0.000 0.000
-2.066 3.579 0.000
0.000 0.000 4.953
Ag P
2 2
Cartesian
0.000 2.386 1.238
2.066 1.193 3.714
0.000 0.000 0.000
0.000 0.000 2.476
```

=====

## iv
Compound: AgP
Source: the Open Quantum Materials Database
Functional: PBE
Structure: optimized geometry

Output
Symmetry: Fm-3m (225)

```
AgP
1.0
5.249 0.000 0.000
0.000 5.249 0.000
0.000 0.000 5.249
Ag P
4 4
Cartesian
0.000 0.000 0.000
0.000 2.625 2.625
2.625 0.000 2.625
2.625 2.625 0.000
0.000 0.000 2.625
0.000 2.625 0.000
2.625 0.000 0.000
2.625 2.625 2.625
```

=====

Stability verdict: i, ahead by 150 meV per atom

=====

## i
Compound: PaAgPt
Source: the Open Quantum Materials Database
Functional: PBE
Structure: optimized geometry

Output
Symmetry: F-43m (216)

```
PaAgPt
1.0
6.582 0.000 0.000
0.000 6.582 0.000
0.000 0.000 6.582
Pa Ag Pt
4 4 4
Cartesian
0.000 0.000 0.000
0.000 3.291 3.291
3.291 0.000 3.291
3.291 3.291 0.000
0.000 0.000 3.291
0.000 3.291 0.000
3.291 0.000 0.000
3.291 3.291 3.291
1.646 1.646 4.937
1.646 4.937 1.646
4.937 1.646 1.646
4.937 4.937 4.937
```

=====

## ii
Compound: PaAgPt
Source: the Open Quantum Materials Database
Functional: PBE
Structure: optimized geometry

Output
Symmetry: F-43m (216)

```
PaAgPt
1.0
6.675 0.000 0.000
0.000 6.675 0.000
0.000 0.000 6.675
Pa Ag Pt
4 4 4
Cartesian
0.000 0.000 0.000
0.000 3.338 3.338
3.338 0.000 3.338
3.338 3.338 0.000
1.669 1.669 5.006
1.669 5.006 1.669
5.006 1.669 1.669
5.006 5.006 5.006
1.669 1.669 1.669
1.669 5.006 5.006
5.006 1.669 5.006
5.006 5.006 1.669
```

=====

Stability verdict: i, ahead by 363 meV per atom

=====

## i
Compound: PaReAg
Source: the Open Quantum Materials Database
Functional: PBE
Structure: optimized geometry

Output
Symmetry: F-43m (216)

```
PaReAg
1.0
6.453 0.000 0.000
0.000 6.453 0.000
0.000 0.000 6.453
Pa Re Ag
4 4 4
Cartesian
0.000 0.000 0.000
0.000 3.226 3.226
3.226 0.000 3.226
3.226 3.226 0.000
0.000 0.000 3.226
0.000 3.226 0.000
3.226 0.000 0.000
3.226 3.226 3.226
1.613 1.613 1.613
1.613 4.840 4.840
4.840 1.613 4.840
4.840 4.840 1.613
```

=====

## ii
Compound: PaReAg
Source: the Open Quantum Materials Database
Functional: PBE
Structure: optimized geometry

Output
Symmetry: F-43m (216)

```
PaReAg
1.0
6.549 0.000 0.000
0.000 6.549 0.000
0.000 0.000 6.549
Pa Re Ag
4 4 4
Cartesian
0.000 0.000 0.000
0.000 3.275 3.275
3.275 0.000 3.275
3.275 3.275 0.000
1.637 1.637 1.637
1.637 4.912 4.912
4.912 1.637 4.912
4.912 4.912 1.637
1.637 1.637 4.912
1.637 4.912 1.637
4.912 1.637 1.637
4.912 4.912 4.912
```

=====

Stability verdict: i, ahead by 81 meV per atom

=====

## i
Compound: ScPaAg
Source: the Open Quantum Materials Database
Functional: PBE
Structure: optimized geometry

Output
Symmetry: F-43m (216)

```
ScPaAg
1.0
6.820 0.000 0.000
0.000 6.820 0.000
0.000 0.000 6.820
Sc Pa Ag
4 4 4
Cartesian
0.000 0.000 0.000
0.000 3.410 3.410
3.410 0.000 3.410
3.410 3.410 0.000
0.000 0.000 3.410
0.000 3.410 0.000
3.410 0.000 0.000
3.410 3.410 3.410
1.705 1.705 5.115
1.705 5.115 1.705
5.115 1.705 1.705
5.115 5.115 5.115
```

=====

## ii
Compound: ScPaAg
Source: the Open Quantum Materials Database
Functional: PBE
Structure: optimized geometry

Output
Symmetry: F-43m (216)

```
ScPaAg
1.0
6.771 0.000 0.000
0.000 6.771 0.000
0.000 0.000 6.771
Sc Pa Ag
4 4 4
Cartesian
0.000 0.000 0.000
0.000 3.385 3.385
3.385 0.000 3.385
3.385 3.385 0.000
1.693 1.693 5.078
1.693 5.078 1.693
5.078 1.693 1.693
5.078 5.078 5.078
0.000 0.000 3.385
0.000 3.385 0.000
3.385 0.000 0.000
3.385 3.385 3.385
```

=====

Stability verdict: i, ahead by 377 meV per atom